No. 1
YMg2Cd (meta-GGA SCAN, single point on PBEsol structure); density of states at the Fermi level = 1.426 states/eV/cell; space-group type = No. 216; total energy = -69.3 eV for the cell shown; calculated formation energy = -1.13 eV per formula unit
1.0
0.000 3.574 3.574
3.574 0.000 3.574
3.574 3.574 0.000
Y Mg Cd
1 2 1
direct
0.000 0.000 0.000 Y
0.500 0.500 0.500 Mg
0.750 0.750 0.750 Mg
0.250 0.250 0.250 Cd



No. 2
LaAuNO2 (meta-GGA SCAN, single point on PBEsol structure); uncorrected formation energy = -923 meV/atom; density of states at the Fermi level = 2.214 states/eV/cell; space-group type = No. 123; total energy = -138.6 eV for the cell shown
1.0
4.125 0.000 0.000
0.000 4.125 0.000
0.000 0.000 3.946
La Au N O
1 1 1 2
direct
0.000 0.000 0.000 La
0.500 0.500 0.500 Au
0.500 0.500 0.000 N
0.000 0.500 0.500 O
0.500 0.000 0.500 O



No. 3
ZrBe4Fe (meta-GGA SCAN, single point on PBEsol structure); density of states at the Fermi level = 0.163 states/eV/cell; space-group type = No. 216; total energy = -67.6 eV for the cell shown; calculated formation energy = -1.33 eV per formula unit
1.0
0.000 3.130 3.130
3.130 0.000 3.130
3.130 3.130 0.000
Zr Be Fe
1 4 1
direct
0.000 0.000 0.000 Zr
0.131 0.623 0.623 Be
0.623 0.131 0.623 Be
0.623 0.623 0.131 Be
0.623 0.623 0.623 Be
0.250 0.250 0.250 Fe



No. 4
TlAuBr2 (meta-GGA SCAN, single point on PBEsol structure); uncorrected formation energy = -257 meV/atom; density of states at the Fermi level = 0.725 states/eV/cell; space-group type = No. 99; total energy = -181.5 eV for the cell shown; energy above the lowest structure with this stoichiometry = 0.165 eV/atom
1.0
3.848 0.000 0.000
0.000 3.848 0.000
0.000 0.000 7.970
Tl Au Br
1 1 2
direct
0.000 0.000 0.000 Tl
0.500 0.500 0.447 Au
0.000 0.000 0.428 Br
0.500 0.500 0.806 Br



No. 5
AlRh2Au (meta-GGA SCAN, single point on PBEsol structure); density of states at the Fermi level = 4.600 states/eV/cell; space-group type = No. 44; total energy = -146.0 eV for the cell shown; calculated formation energy = -1.59 eV per formula unit
1.0
-1.462 2.215 4.444
1.462 -2.215 4.444
1.462 2.215 -4.444
Al Rh Au
1 2 1
direct
0.000 0.000 0.000 Al
0.226 0.726 0.500 Rh
0.489 0.489 0.000 Rh
0.761 0.261 0.500 Au



No. 6
Zn3SiNi2 (meta-GGA SCAN, single point on PBEsol structure); uncorrected formation energy = -342 meV/atom; density of states at the Fermi level = 8.922 states/eV/cell; space-group type = No. 227; total energy = -339.8 eV for the cell shown
1.0
0.000 5.284 5.284
5.284 0.000 5.284
5.284 5.284 0.000
Zn Si Ni
12 4 8
direct
0.061 0.061 0.689 Zn
0.061 0.689 0.061 Zn
0.061 0.689 0.689 Zn
0.311 0.311 0.939 Zn
0.311 0.939 0.311 Zn
0.311 0.939 0.939 Zn
0.689 0.061 0.061 Zn
0.689 0.061 0.689 Zn
0.689 0.689 0.061 Zn
0.939 0.311 0.311 Zn
0.939 0.311 0.939 Zn
0.939 0.939 0.311 Zn
0.000 0.500 0.500 Si
0.500 0.000 0.500 Si
0.500 0.500 0.000 Si
0.500 0.500 0.500 Si
0.289 0.289 0.289 Ni
0.289 0.289 0.634 Ni
0.289 0.634 0.289 Ni
0.366 0.711 0.711 Ni
0.634 0.289 0.289 Ni
0.711 0.366 0.711 Ni
0.711 0.711 0.366 Ni
0.711 0.711 0.711 Ni



No. 7
ZrAl2Se (meta-GGA SCAN, single point on PBEsol structure); uncorrected formation energy = -405 meV/atom; density of states at the Fermi level = 1.632 states/eV/cell; space-group type = No. 99; total energy = -67.9 eV for the cell shown
1.0
3.325 0.000 0.000
0.000 3.325 0.000
0.000 0.000 6.843
Zr Al Se
1 2 1
direct
0.000 0.000 0.000 Zr
0.000 0.000 0.516 Al
0.500 0.500 0.285 Al
0.500 0.500 0.809 Se



No. 8
CrPt2Cl (meta-GGA SCAN, single point on PBEsol structure); uncorrected formation energy = 516 meV/atom; density of states at the Fermi level = 3.044 states/eV/cell; space-group type = No. 123; total energy = -164.7 eV for the cell shown; energy above the lowest structure with this stoichiometry = 0.463 eV/atom
1.0
4.676 0.000 0.000
0.000 4.676 0.000
0.000 0.000 2.823
Cr Pt Cl
1 2 1
direct
0.000 0.000 0.000 Cr
0.000 0.500 0.500 Pt
0.500 0.000 0.500 Pt
0.500 0.500 0.000 Cl